The following is a GGA-PBE calculation of a geometry-optimized YMg2Ir2 structure, from the Alexandria database.

Offset from the most stable computed form   0.0431 eV/atom

abc: 7.615 7.615 3.088
angles: 90.00 90.00 90.00
Space group P4/mbm (No. 127)
One atom of each set of equivalent atoms:
Y1 0.000 0.000 0.000 (multiplicity 2)
Mg1 0.122 0.378 0.000 (multiplicity 4)
Ir1 0.176 0.676 0.500 (multiplicity 4)